First-principles (GGA-PBE) data for Er6Tm5 after structural relaxation, as listed in Alexandria via LeMat-Bulk.

## Properties
- Space-group type: C2/m
- Total DFT energy (no corrections): -48.145 eV per cell
- E_form: 0.145 eV/atom
- Crystal system: monoclinic

a = 7.8252 Å, b = 7.8252 Å, c = 6.1594 Å
α = 99.96°, β = 99.96°, γ = 109.71°
Sites, in units of the cell vectors:
Er 0.0469 0.3140 0.6680
Er 0.1680 0.1680 0.1823
Er 0.3140 0.0469 0.6680
Er 0.6860 0.9531 0.3320
Er 0.8320 0.8320 0.8177
Er 0.9531 0.6860 0.3320
Tm 0.2408 0.7592 0.0000
Tm 0.3719 0.6281 0.5000
Tm 0.5000 0.5000 0.0000
Tm 0.6281 0.3719 0.5000
Tm 0.7592 0.2408 0.0000